Computed, not measured: a relaxed structure of Er6SbAs2P3 at the PBE level of DFT.

Cell: 17.761 4.053 8.173 Å, 90.00 103.52 90.00°
Space group C2/m (No. 12)
Unique sites:
1 Er 0.001 0.000 0.232 x4
2 Er 0.166 0.500 0.087 x4
3 Er 0.174 0.500 0.583 x4
4 Sb 0.000 0.500 0.500 x2
5 As 0.167 0.000 0.834 x4
6 P 0.000 0.500 0.000 x2
7 P 0.166 0.000 0.332 x4

The formation energy without anion corrections comes out at -1469.5 meV/atom. The total energy comes out at -149.32 eV for the cell shown.

***

Computed, not measured: a relaxed structure of Er4Sb2AsP at the PBE level of DFT.

Cell: 7.213 4.157 7.323 Å, 90.00 109.08 90.00°
Space group P2/m (No. 10)
Unique sites:
1 Er 0.239 0.000 0.227 x2
2 Er 0.253 0.500 0.771 x2
3 Sb 0.000 0.000 0.500 x1
4 Sb 0.500 0.500 0.500 x1
5 As 0.500 0.000 0.000 x1
6 P 0.000 0.500 0.000 x1

The formation energy without anion corrections comes out at -1300.8 meV/atom. The total energy comes out at -46.96 eV for the cell shown.

***

Computed, not measured: a relaxed structure of Er6SbAs3P2 at the PBE level of DFT.

Cell: 17.811 4.080 8.205 Å, 90.00 103.05 90.00°
Space group C2/m (No. 12)
Unique sites:
1 Er 0.004 0.000 0.265 x4
2 Er 0.170 0.500 0.580 x4
3 Er 0.173 0.500 0.093 x4
4 Sb 0.000 0.500 0.000 x2
5 As 0.000 0.500 0.500 x2
6 As 0.164 0.000 0.832 x4
7 P 0.168 0.000 0.336 x4

The formation energy without anion corrections comes out at -1450.7 meV/atom. The total energy comes out at -147.35 eV for the cell shown.

***

Computed, not measured: a relaxed structure of Er6As3P2Se at the PBE level of DFT.

Cell: 17.576 4.037 8.084 Å, 90.00 103.15 90.00°
Space group C2/m (No. 12)
Unique sites:
1 Er 0.003 0.000 0.259 x4
2 Er 0.169 0.500 0.579 x4
3 Er 0.170 0.500 0.091 x4
4 As 0.000 0.500 0.500 x2
5 As 0.164 0.000 0.834 x4
6 P 0.167 0.000 0.333 x4
7 Se 0.000 0.500 0.000 x2

The formation energy without anion corrections comes out at -1627.1 meV/atom. The total energy comes out at -150.31 eV for the cell shown.

***

Computed, not measured: a relaxed structure of Er4As2PSe at the PBE level of DFT.

Cell: 6.990 4.042 7.009 Å, 90.00 109.36 90.00°
Space group P2/m (No. 10)
Unique sites:
1 Er 0.246 0.000 0.240 x2
2 Er 0.252 0.500 0.758 x2
3 As 0.000 0.000 0.500 x1
4 As 0.000 0.500 0.000 x1
5 P 0.500 0.000 0.000 x1
6 Se 0.500 0.500 0.500 x1

The formation energy without anion corrections comes out at -1648.0 meV/atom. The total energy comes out at -49.63 eV for the cell shown.

***

Computed, not measured: a relaxed structure of Er6As2PSe3 at the PBE level of DFT.

Cell: 17.693 4.032 8.118 Å, 90.00 103.77 90.00°
Space group C2/m (No. 12)
Unique sites:
1 Er 0.002 0.000 0.233 x4
2 Er 0.159 0.500 0.086 x4
3 Er 0.168 0.500 0.576 x4
4 As 0.167 0.000 0.333 x4
5 P 0.000 0.500 0.000 x2
6 Se 0.000 0.500 0.500 x2
7 Se 0.168 0.000 0.833 x4

The formation energy without anion corrections comes out at -1702.8 meV/atom. The total energy comes out at -145.95 eV for the cell shown.

***

Computed, not measured: a relaxed structure of Er4AsPSe2 at the PBE level of DFT.

Cell: 6.971 4.021 7.040 Å, 90.00 109.29 90.00°
Space group P2/m (No. 10)
Unique sites:
1 Er 0.237 0.000 0.230 x2
2 Er 0.250 0.500 0.766 x2
3 As 0.500 0.000 0.000 x1
4 P 0.000 0.500 0.000 x1
5 Se 0.000 0.000 0.500 x1
6 Se 0.500 0.500 0.500 x1

The formation energy without anion corrections comes out at -1714.0 meV/atom. The total energy comes out at -48.99 eV for the cell shown.

***

Computed, not measured: a relaxed structure of Er4AsP2Se at the PBE level of DFT.

Cell: 6.939 4.007 6.967 Å, 90.00 109.28 90.00°
Space group P2/m (No. 10)
Unique sites:
1 Er 0.240 0.000 0.235 x2
2 Er 0.250 0.500 0.761 x2
3 As 0.000 0.000 0.500 x1
4 P 0.000 0.500 0.000 x1
5 P 0.500 0.000 0.000 x1
6 Se 0.500 0.500 0.500 x1

The formation energy without anion corrections comes out at -1687.3 meV/atom. The total energy comes out at -50.70 eV for the cell shown.

***

Computed, not measured: a relaxed structure of Er8As3PSe4 at the PBE level of DFT.

Cell: 8.0839 8.0839 19.9492 Å, 90.00 90.00 120.00°
Space group R-3m (No. 166, hexagonal axes)
Unique sites:
1 Er 0.0000 0.0000 0.2458 x6
2 Er 0.0061 0.5031 0.2445 x18
3 As 0.0000 0.5000 0.5000 x9
4 P 0.0000 0.0000 0.5000 x3
5 Se 0.0000 0.0000 0.0000 x3
6 Se 0.0000 0.5000 0.0000 x9

The formation energy without anion corrections comes out at -1694.4 meV/atom. The total energy comes out at -290.73 eV for the cell shown.

***

Computed, not measured: a relaxed structure of Er4TeAs2P at the PBE level of DFT.

Cell: 7.111 4.103 7.151 Å, 90.00 109.25 90.00°
Space group P2/m (No. 10)
Unique sites:
1 Er 0.236 0.000 0.229 x2
2 Er 0.247 0.500 0.763 x2
3 Te 0.500 0.500 0.500 x1
4 As 0.000 0.000 0.500 x1
5 As 0.000 0.500 0.000 x1
6 P 0.500 0.000 0.000 x1

The formation energy without anion corrections comes out at -1497.5 meV/atom. The total energy comes out at -48.08 eV for the cell shown.